The following is a PBE-GGA calculation of a geometry-optimized Hf2MgSc structure, from OQMD.

Cell lengths 4.981, 4.981, 4.981 Å; angles 60.00, 60.00, 60.00 degrees
Atoms (fractional coordinates):
Sc: 0.000 0.000 0.000
Hf: 0.750 0.750 0.750
Hf: 0.500 0.500 0.500
Mg: 0.250 0.250 0.250

Computed properties:
space-group type: F-43m
VASP energy: -6.727 eV/atom

The following is a PBE-GGA calculation of a geometry-optimized Dy4Bi3Sb structure, from OQMD.

Cell lengths 6.283, 6.283, 6.283 Å; angles 90.00, 90.00, 90.00 degrees
Atoms (fractional coordinates):
Sb: 0.000 0.000 0.000
Dy: 0.000 0.000 0.500
Dy: 0.000 0.500 0.000
Dy: 0.500 0.000 0.000
Dy: 0.500 0.500 0.500
Bi: 0.500 0.000 0.500
Bi: 0.500 0.500 0.000
Bi: 0.000 0.500 0.500

Computed properties:
space-group type: Pm-3m
VASP energy: -5.270 eV/atom

The following is a PBE-GGA calculation of a geometry-optimized InAuO2 structure, from OQMD.

Cell lengths 6.972, 6.972, 5.104 Å; angles 111.21, 111.21, 42.97 degrees
Atoms (fractional coordinates):
O: 0.215 0.481 0.629
O: 0.082 0.222 0.935
O: 0.519 0.785 0.371
O: 0.778 0.918 0.065
Au: 0.530 0.233 0.380
Au: 0.767 0.470 0.620
In: 0.399 0.101 0.750
In: 0.899 0.601 0.250

Computed properties:
space-group type: C2
VASP energy: -4.575 eV/atom

The following is a PBE-GGA calculation of a geometry-optimized DyEr6Ni2Se2 structure, from OQMD.

Cell lengths 9.014, 9.014, 9.014 Å; angles 155.84, 67.25, 118.31 degrees
Atoms (fractional coordinates):
Er: 0.057 0.417 0.640
Er: 0.777 0.417 0.360
Er: 0.744 0.059 0.685
Er: 0.138 0.263 0.875
Er: 0.374 0.059 0.315
Er: 0.389 0.263 0.125
Ni: 0.993 0.754 0.239
Ni: 0.515 0.754 0.761
Dy: 0.675 0.675 0.000
Se: 0.016 0.016 0.000
Se: 0.417 0.917 0.500

Computed properties:
space-group type: Imm2
VASP energy: -5.372 eV/atom

The following is a PBE-GGA calculation of a geometry-optimized BaTaRe structure, from OQMD.

Cell lengths 4.758, 4.758, 4.758 Å; angles 60.00, 60.00, 60.00 degrees
Atoms (fractional coordinates):
Re: 0.000 0.000 0.000
Ba: 0.250 0.250 0.250
Ta: 0.750 0.750 0.750

Computed properties:
space-group type: F-43m
VASP energy: -7.396 eV/atom
energy above the lowest structure with this stoichiometry: 0 meV/atom

The following is a PBE-GGA calculation of a geometry-optimized PaBeGa structure, from OQMD.

Cell lengths 4.320, 4.320, 4.320 Å; angles 60.00, 60.00, 60.00 degrees
Atoms (fractional coordinates):
Pa: 0.750 0.750 0.750
Be: 0.000 0.000 0.000
Ga: 0.250 0.250 0.250

Computed properties:
space-group type: F-43m
VASP energy: -5.344 eV/atom
energy above the lowest structure with this stoichiometry: 0 meV/atom

The following is a PBE-GGA calculation of a geometry-optimized NdBH8SO10 structure, from OQMD.

Cell lengths 6.166, 9.163, 6.701 Å; angles 90.00, 93.43, 90.00 degrees
Atoms (fractional coordinates):
H: 0.628 0.435 0.594
H: 0.530 0.554 0.227
H: 0.085 0.534 0.814
H: 0.470 0.054 0.773
H: 0.915 0.034 0.186
H: 0.372 0.565 0.406
H: 0.915 0.466 0.186
H: 0.781 0.250 0.527
H: 0.372 0.935 0.406
H: 0.470 0.446 0.773
H: 0.085 0.966 0.814
H: 0.219 0.750 0.473
H: 0.263 0.750 0.068
H: 0.530 0.946 0.227
H: 0.628 0.065 0.594
H: 0.737 0.250 0.932
O: 0.314 0.750 0.598
O: 0.070 0.750 0.267
O: 0.979 0.374 0.235
O: 0.402 0.509 0.286
O: 0.021 0.874 0.765
O: 0.598 0.491 0.714
O: 0.244 0.380 0.881
O: 0.333 0.750 0.941
O: 0.686 0.250 0.402
O: 0.667 0.250 0.059
O: 0.756 0.880 0.119
O: 0.726 0.750 0.430
O: 0.979 0.126 0.235
O: 0.598 0.009 0.714
O: 0.756 0.620 0.119
O: 0.244 0.120 0.881
O: 0.402 0.991 0.286
O: 0.274 0.250 0.570
O: 0.021 0.626 0.765
O: 0.930 0.250 0.733
Nd: 0.677 0.750 0.782
Nd: 0.323 0.250 0.218
B: 0.827 0.250 0.230
B: 0.173 0.750 0.770
S: 0.833 0.750 0.241
S: 0.167 0.250 0.759

Computed properties:
space-group type: P2_1/m
VASP energy: -5.979 eV/atom

The following is a PBE-GGA calculation of a geometry-optimized SmCo2Si2 structure, from OQMD.

Cell lengths 3.910, 3.910, 5.647 Å; angles 110.25, 110.25, 90.00 degrees
Atoms (fractional coordinates):
Co: 0.250 0.750 0.500
Co: 0.750 0.250 0.500
Sm: 0.000 0.000 0.000
Si: 0.369 0.369 0.739
Si: 0.631 0.631 0.261

Computed properties:
space-group type: I4/mmm
VASP energy: -6.745 eV/atom